*a*
A relaxed Nb2ZnNi crystal. Source: Alexandria, functional PBE-GGA.

- SG: No. 123

abc: 2.810 2.810 7.780
angles: 90.00 90.00 90.00
Element x y z (fractional)
Ni: 0.500 0.500 0.000
Nb: 0.000 0.000 0.763
Nb: 0.000 0.000 0.237
Zn: 0.500 0.500 0.500

***

*b*
A relaxed Nb2ZnNi crystal. Source: Alexandria, functional PBE-GGA.

- SG: No. 122

abc: 7.149 7.149 5.677
angles: 50.98 50.98 90.00
Element x y z (fractional)
Ni: 0.500 0.500 0.000
Ni: 0.250 0.750 0.500
Nb: 0.596 0.125 0.250
Nb: 0.154 0.625 0.250
Nb: 0.375 0.404 0.750
Nb: 0.875 0.846 0.750
Zn: 0.000 0.000 0.000
Zn: 0.750 0.250 0.500

***

Short version: *b* is the least stable of them.